No. 1
Here is a geometry-optimized SmTm2Be structure from Alexandria via LeMat-Bulk. Energies are from PBE.

## Properties
formation energy from the elements: 55 meV per atom
total magnetization: 0.0 μB per formula unit
space group: P4/mmm
total energy: -4.29 eV/atom
energy relative to the lowest polymorph listed for this composition: 0.000 eV per atom

Unit cell a=3.4187 b=3.4187 c=8.6710 alpha=90.00 beta=90.00 gamma=90.00
With the nearest neighbours (Å) after each atom.
Positions (direct):
Sm (0.0000, 0.0000, 0.0000)  4 Sm 3.42, 8 Tm 3.62
Tm (0.5000, 0.5000, 0.3106)  4 Be 2.92
Tm (0.5000, 0.5000, 0.6894)  4 Be 2.92
Be (0.0000, 0.0000, 0.5000)  8 Tm 2.92



No. 2
Here is a geometry-optimized RbNaPbCl6 structure from Alexandria via LeMat-Bulk. Energies are from PBE.

## Properties
total magnetization: 0.0 μB per formula unit
space group: P312
total energy: -3.12 eV/atom
formation energy (no corrections): -1065.3 kJ/mol of formula units

Unit cell a=7.1335 b=7.1335 c=7.1010 alpha=90.00 beta=90.00 gamma=120.00
With the nearest neighbours (Å) after each atom.
Positions (direct):
Rb (0.0000, 0.0000, 0.0000)  6 Cl 3.36
Na (0.3333, 0.6667, 0.5000)  6 Cl 2.84
Pb (0.6667, 0.3333, 0.5000)  6 Cl 2.58
Cl (0.3847, 0.0274, 0.7105)  1 Pb 2.58, 1 Na 2.84
Cl (0.3847, 0.3573, 0.2895)  1 Pb 2.58, 1 Na 2.84
Cl (0.6427, 0.0274, 0.2895)  1 Pb 2.58, 1 Na 2.84
Cl (0.6427, 0.6153, 0.7105)  1 Pb 2.58, 1 Na 2.84
Cl (0.9726, 0.3573, 0.7105)  1 Pb 2.58, 1 Na 2.84
Cl (0.9726, 0.6153, 0.2895)  1 Pb 2.58, 1 Na 2.84